No. 1
Here is a relaxed structure of EuCdRhAu from Alexandria via LeMat-Bulk. Energies are from PBE.

Cell: 4.908 4.908 4.908 Å, 60.00 60.00 60.00°
Site moments in Bohr magnetons follow the coordinates.
Fractional coordinates of all 4 atoms:
Eu 0.250 0.250 0.250  6.68
Rh 0.000 0.000 0.000  -0.14
Cd 0.750 0.750 0.750  0.00
Au 0.500 0.500 0.500  0.00

***

No. 2
Here is a relaxed structure of K2U2RhSe6 from Alexandria via LeMat-Bulk. Energies are from PBE.

Summary:
* formation energy from raw total energies: -11.2 eV/f.u.

Cell: 6.772 6.772 8.381 Å, 98.03 98.03 119.28°
Site moments in Bohr magnetons follow the coordinates.
Fractional coordinates of all 11 atoms:
Se 0.928 0.614 0.300  -0.03
U 0.332 0.668 0.500  2.14
Se 0.614 0.928 0.300  -0.03
K 0.170 0.830 0.000  0.00
Se 0.755 0.755 0.696  -0.04
Rh 0.000 0.000 0.500  0.54
Se 0.072 0.386 0.700  -0.03
Se 0.245 0.245 0.304  -0.04
U 0.668 0.332 0.500  2.14
Se 0.386 0.072 0.700  -0.03
K 0.830 0.170 0.000  0.00

***

No. 3
Here is a relaxed structure of UCu2F8 from Alexandria via LeMat-Bulk. Energies are from PBE.

Summary:
* relative energy among the computed polymorphs: 0.100 eV per atom
* formation energy from raw total energies: -26.6 eV/f.u.

Cell: 5.441 6.020 6.020 Å, 56.86 92.92 92.92°
Site moments in Bohr magnetons follow the coordinates.
Fractional coordinates of all 11 atoms:
F 0.234 0.854 0.332  -0.01
F 0.223 0.839 0.839  0.00
F 0.743 0.638 0.638  0.05
Cu 0.547 0.290 0.290  0.35
Cu 0.453 0.710 0.710  0.35
U 0.000 0.000 0.000  1.00
F 0.257 0.362 0.362  0.05
F 0.766 0.668 0.146  -0.01
F 0.766 0.146 0.668  -0.01
F 0.234 0.332 0.854  -0.01
F 0.777 0.161 0.161  0.00

***

Sequential energy output: -5.769, -5.837, -5.548 eV per atom